BaRe2Te | PBE | optimized geometry

## Properties
Calculated total energy, Ry per atom: -0.4701
Symmetry: No. 47
DOS(E_F), states/eV/f.u.: 3.9

Lattice parameters (Å, degrees): 3.1693 4.6540 6.6626 90.00 90.00 90.00
Fractional positions:
Ba 0.5000 0.5000 0.7500
Te 0.5000 0.5000 0.2500
Re 0.0000 0.0000 0.4198
Re 0.0000 0.0000 0.0802